{"formula": "Sm2DyErTh", "functional": "PBE", "state": "optimized geometry", "dft_energy_ha_per_atom": -0.1796, "space_group": "No. 13", "ef_ev_per_atom": 0.32, "vol_a3_per_atom": 34.24, "crystal_system": "monoclinic", "cell": [[8.524, 0.000, 0.000], [0.000, 6.346, 0.000], [-0.560, 0.000, 6.329]], "species": ["Sm", "Sm", "Sm", "Sm", "Dy", "Dy", "Er", "Er", "Th", "Th"], "fractional_positions": [[0.188, 0.204, 0.278], [0.188, 0.796, 0.778], [0.812, 0.204, 0.222], [0.812, 0.796, 0.722], [0.500, 0.500, 0.000], [0.500, 0.500, 0.500], [0.000, 0.315, 0.750], [0.000, 0.685, 0.250], [0.500, 0.051, 0.750], [0.500, 0.949, 0.250]]}